Arrangement P

DFT (PBE) results for a relaxed structure of Nd2Dy8Tm3.

The space group is Pbam (No. 55) and the conventional cell measures 12.199, 19.373 and 3.552 Å, with angles of 90.00, 90.00 and 90.00 degrees. The inequivalent atoms are Nd at (0.167, 0.129, 0.000), Dy at (0.017, 0.583, 0.000), Dy at (0.122, 0.863, 0.000), Dy at (0.149, 0.299, 0.500), Dy at (0.210, 0.481, 0.500), Tm at (0.000, 0.000, 0.500) and Tm at (0.124, 0.712, 0.500).

=====

Arrangement Q

DFT (PBE) results for a relaxed structure of Nd2Dy8Tm3.

The space group is P2/m (No. 10) and the conventional cell measures 7.587, 5.520 and 11.022 Å, with angles of 90.00, 110.09 and 90.00 degrees. The inequivalent atoms are Nd at (0.240, 0.000, 0.481), Dy at (0.128, 0.500, 0.256), Dy at (0.182, 0.000, 0.789), Dy at (0.339, 0.500, 0.678), Dy at (0.393, 0.000, 0.211), Tm at (0.000, 0.000, 0.000) and Tm at (0.285, 0.500, 0.000).

=====

Stability, highest: arrangement P

=====

Arrangement P

DFT (PBE) results for a relaxed structure of NdDy2Tm2.

The space group is P4/mbm (No. 127) and the conventional cell measures 9.415, 9.415 and 3.647 Å, with angles of 90.00, 90.00 and 90.00 degrees. The inequivalent atoms are Nd at (0.000, 0.000, 0.000), Dy at (0.174, 0.326, 0.500) and Tm at (0.123, 0.623, 0.000).

=====

Arrangement Q

DFT (PBE) results for a relaxed structure of NdDy2Tm2.

The space group is Amm2 (No. 38) and the conventional cell measures 3.498, 5.694 and 16.308 Å, with angles of 90.00, 90.00 and 90.00 degrees. The inequivalent atoms are Nd at (0.000, 0.000, 0.000), Dy at (0.000, 0.000, 0.381), Dy at (0.500, 0.000, 0.574), Tm at (0.000, 0.000, 0.762) and Tm at (0.500, 0.000, 0.193).

=====

Stability, highest: arrangement P